1.
RuPtS2 | GGA-PBEsol | relaxed

Summary:
**Space group**: I-42d

a = 6.392 Å, b = 6.392 Å, c = 6.392 Å
α = 131.39°, β = 131.39°, γ = 71.19°
Atoms (fractional coordinates):
Ru: 0.000 0.000 0.000
Ru: 0.750 0.250 0.500
Pt: 0.250 0.750 0.500
Pt: 0.500 0.500 0.000
S: 0.109 0.625 0.984
S: 0.375 0.359 0.484
S: 0.641 0.125 0.016
S: 0.875 0.891 0.516



2.
RuPtS2 | GGA-PBEsol | relaxed

Summary:
**Space group**: R-3m

a = 7.536 Å, b = 7.536 Å, c = 7.536 Å
α = 24.55°, β = 24.55°, γ = 24.55°
Atoms (fractional coordinates):
Ru: 0.000 0.000 0.000
Pt: 0.500 0.500 0.500
S: 0.398 0.398 0.398
S: 0.602 0.602 0.602



In terms of stability, 2 leads; the second structure lies 64 meV per atom higher.